## P
Below is a geometry-optimized RbSbSeBr2 structure, with properties calculated at the GGA-PBE level.

Structure (extended XYZ):
```
5
Lattice="5.812 0.000 0.000 0.000 5.812 0.000 0.000 0.000 5.360" Properties=species:S:1:pos:R:3 pbc="T T T"
Sb 0.000 0.000 0.000
Se 0.000 0.000 2.680
Br 0.000 2.906 0.000
Br 2.906 0.000 0.000
Rb 2.906 2.906 2.680
```

Results
- SG: P4/mmm
- Total moment: 0.000 μB/atom

## Q
Below is a geometry-optimized RbSbSeBr2 structure, with properties calculated at the GGA-PBE level.

Structure (extended XYZ):
```
5
Lattice="-0.856 -4.122 4.233 -3.815 -2.880 -3.576 4.520 -3.224 -2.226" Properties=species:S:1:pos:R:3 pbc="T T T"
Sb -0.075 -5.113 -0.785
Se 2.260 -1.612 -1.113
Br -1.907 -1.440 -1.788
Br -0.428 -2.061 2.116
Rb 0.000 0.000 0.000
```

Results
- SG: P4/mmm
- Total moment: 0.000 μB/atom

P is preferred energetically. Next in line: 1278 meV/atom higher.